## a
Density functional theory data (GGA-PBE) for a relaxed UNbAg crystal.

total moment	0.09	μB/f.u.

Cell: 6.4292 6.4292 6.4292 Å, 90.00 90.00 90.00°
Space group F-43m (No. 216)
Asymmetric unit:
U 0.0000 0.0000 0.0000 (multiplicity 4)
Nb 0.2500 0.2500 0.7500 (multiplicity 4)
Ag 0.0000 0.0000 0.5000 (multiplicity 4)

## b
Density functional theory data (GGA-PBE) for a relaxed UNbAg crystal.

total moment	0.27	μB/f.u.

Cell: 6.4941 6.4941 6.4941 Å, 90.00 90.00 90.00°
Space group F-43m (No. 216)
Asymmetric unit:
U 0.0000 0.0000 0.0000 (multiplicity 4)
Nb 0.2500 0.2500 0.2500 (multiplicity 4)
Ag 0.2500 0.2500 0.7500 (multiplicity 4)

List of relative energies, unit eV/atom: a 0.000; b 0.249

## a
Density functional theory data (GGA-PBE) for a relaxed NbZnAg crystal.

total moment	0.01	μB/f.u.

Cell: 6.2478 6.2478 6.2478 Å, 90.00 90.00 90.00°
Space group F-43m (No. 216)
Asymmetric unit:
Nb 0.0000 0.0000 0.0000 (multiplicity 4)
Zn 0.2500 0.2500 0.7500 (multiplicity 4)
Ag 0.2500 0.2500 0.2500 (multiplicity 4)

## b
Density functional theory data (GGA-PBE) for a relaxed NbZnAg crystal.

total moment	0.00	μB/f.u.

Cell: 6.1255 6.1255 6.1255 Å, 90.00 90.00 90.00°
Space group F-43m (No. 216)
Asymmetric unit:
Nb 0.0000 0.0000 0.0000 (multiplicity 4)
Zn 0.0000 0.0000 0.5000 (multiplicity 4)
Ag 0.2500 0.2500 0.2500 (multiplicity 4)

List of relative energies, unit eV/atom: a 0.231; b 0.000

## a
Density functional theory data (GGA-PBE) for a relaxed NdAgPd crystal.

total moment	0.00	μB/f.u.

Cell: 7.3453 4.1246 8.7434 Å, 90.00 90.00 90.00°
Space group Pnma (No. 62)
Asymmetric unit:
Nd 0.0587 0.2500 0.1898 (multiplicity 4)
Ag 0.1248 0.2500 0.5630 (multiplicity 4)
Pd 0.2322 0.2500 0.8760 (multiplicity 4)

## b
Density functional theory data (GGA-PBE) for a relaxed NdAgPd crystal.

total moment	0.00	μB/f.u.

Cell: 6.6816 6.6816 6.6816 Å, 90.00 90.00 90.00°
Space group F-43m (No. 216)
Asymmetric unit:
Nd 0.0000 0.0000 0.0000 (multiplicity 4)
Ag 0.0000 0.0000 0.5000 (multiplicity 4)
Pd 0.2500 0.2500 0.7500 (multiplicity 4)

List of relative energies, unit eV/atom: a 0.000; b 0.160

## a
Density functional theory data (GGA-PBE) for a relaxed Nd2AgS3 crystal.

total moment	0.05	μB/f.u.

Cell: 8.7467 3.9581 15.8182 Å, 90.00 90.00 90.00°
Space group Pnma (No. 62)
Asymmetric unit:
Nd 0.1061 0.2500 0.2188 (multiplicity 4)
Nd 0.1898 0.2500 0.9510 (multiplicity 4)
Ag 0.0825 0.2500 0.6046 (multiplicity 4)
S 0.0966 0.2500 0.4012 (multiplicity 4)
S 0.1315 0.7500 0.0792 (multiplicity 4)
S 0.1474 0.2500 0.7704 (multiplicity 4)

## b
Density functional theory data (GGA-PBE) for a relaxed Nd2AgS3 crystal.

total moment	0.01	μB/f.u.

Cell: 10.5120 3.9616 13.2962 Å, 90.00 90.00 90.00°
Space group Pnma (No. 62)
Asymmetric unit:
Nd 0.0233 0.2500 0.2413 (multiplicity 4)
Nd 0.2124 0.7500 0.5160 (multiplicity 4)
Ag 0.2269 0.2500 0.7349 (multiplicity 4)
S 0.0408 0.2500 0.6079 (multiplicity 4)
S 0.1073 0.7500 0.0994 (multiplicity 4)
S 0.2328 0.7500 0.8567 (multiplicity 4)

List of relative energies, unit eV/atom: a 0.000; b 0.015

## a
Density functional theory data (GGA-PBE) for a relaxed NdAg2S2 crystal.

total moment	0.00	μB/f.u.

Cell: 4.0540 4.0540 8.1158 Å, 90.00 90.00 120.00°
Space group P-3m1 (No. 164)
Asymmetric unit:
Nd 0.0000 0.0000 0.0000 (multiplicity 1)
Ag 0.3333 0.6667 0.6092 (multiplicity 2)
S 0.3333 0.6667 0.1967 (multiplicity 2)

## b
Density functional theory data (GGA-PBE) for a relaxed NdAg2S2 crystal.

total moment	0.01	μB/f.u.

Cell: 4.1279 4.1279 16.6763 Å, 90.00 90.00 120.00°
Space group P6_3/mmc (No. 194)
Asymmetric unit:
Nd 0.0000 0.0000 0.0000 (multiplicity 2)
Ag 0.3333 0.6667 0.1665 (multiplicity 4)
S 0.3333 0.6667 0.5944 (multiplicity 4)

List of relative energies, unit eV/atom: a 0.000; b 0.059

## a
Density functional theory data (GGA-PBE) for a relaxed NdSmAgSe3 crystal.

total moment	0.00	μB/f.u.

Cell: 7.9073 4.1176 9.7771 Å, 90.00 105.59 90.00°
Space group P2_1/m (No. 11)
Asymmetric unit:
Nd 0.2004 0.2500 0.1758 (multiplicity 2)
Sm 0.2481 0.7500 0.7020 (multiplicity 2)
Ag 0.3917 0.7500 0.4309 (multiplicity 2)
Se 0.0854 0.2500 0.8574 (multiplicity 2)
Se 0.1540 0.2500 0.4658 (multiplicity 2)
Se 0.4693 0.7500 0.1767 (multiplicity 2)

## b
Density functional theory data (GGA-PBE) for a relaxed NdSmAgSe3 crystal.

total moment	0.04	μB/f.u.

Cell: 4.0573 13.8132 10.8129 Å, 90.00 90.00 90.00°
Space group Cmcm (No. 63)
Asymmetric unit:
Nd 0.0000 0.0000 0.0000 (multiplicity 4)
Sm 0.0000 0.2267 0.2500 (multiplicity 4)
Ag 0.0000 0.4807 0.7500 (multiplicity 4)
Se 0.0000 0.1099 0.7500 (multiplicity 4)
Se 0.0000 0.3498 0.5705 (multiplicity 8)

List of relative energies, unit eV/atom: a 0.000; b 0.047